[1]
A plane-wave DFT calculation with PBE was carried out for crystalline MgNbIn at its relaxed geometry.

Calculated values
Size of the total moment: 0.02 μB/cell
Calculated volume: 73.42 Å³/cell
E: -0.2971 Ry/atom
Space group: F-43m (216)

abc: 4.7001 4.7001 4.7001
angles: 60.00 60.00 60.00
Closest atoms and distances in Å follow each position.
Element x y z (fractional)
Mg  0.0000  0.0000  0.0000  4 Nb 2.88
Nb  0.7500  0.7500  0.7500  4 Mg 2.88, 4 In 2.88
In  0.5000  0.5000  0.5000  4 Nb 2.88

---

[2]
A plane-wave DFT calculation with PBE was carried out for crystalline MgNbInNi at its relaxed geometry.

Calculated values
Size of the total moment: 0.13 μB/cell
Calculated volume: 67.50 Å³/cell
E: -0.3535 Ry/atom
Space group: F-43m (216)

abc: 4.5703 4.5703 4.5703
angles: 60.00 60.00 60.00
Closest atoms and distances in Å follow each position.
Element x y z (fractional)
Mg  0.0000  0.0000  0.0000  4 Nb 2.80, 4 In 2.80
Nb  0.7500  0.7500  0.7500  4 Ni 2.80, 4 Mg 2.80
In  0.2500  0.2500  0.2500  4 Ni 2.80, 4 Mg 2.80
Ni  0.5000  0.5000  0.5000  4 Nb 2.80, 4 In 2.80

---

[3]
A plane-wave DFT calculation with PBE was carried out for crystalline MgNbInNi at its relaxed geometry.

Calculated values
Size of the total moment: 0.01 μB/cell
Calculated volume: 69.82 Å³/cell
E: -0.3469 Ry/atom
Space group: F-43m (216)

abc: 4.6221 4.6221 4.6221
angles: 60.00 60.00 60.00
Closest atoms and distances in Å follow each position.
Element x y z (fractional)
Mg  0.0000  0.0000  0.0000  4 Ni 2.83, 4 Nb 2.83
Nb  0.2500  0.2500  0.2500  4 In 2.83, 4 Mg 2.83
In  0.5000  0.5000  0.5000  4 Nb 2.83, 4 Ni 2.83
Ni  0.7500  0.7500  0.7500  4 In 2.83, 4 Mg 2.83